Below is a relaxed structure of KCd2As, with properties calculated at the PBE-GGA level.

Values from the calculation:
Formation energy from the elements = 0.2333 eV per atom
SG = R-3m

Lattice parameters (Å, degrees): 10.918 10.918 10.918 17.63 17.63 17.63
Sites, in units of the cell vectors:
K  0.000  0.000  0.000
Cd  0.241  0.241  0.241
Cd  0.759  0.759  0.759
As  0.500  0.500  0.500

Below is a relaxed structure of Ta2Mn3Ni, with properties calculated at the PBE-GGA level.

Values from the calculation:
Formation energy from the elements = -0.2409 eV per atom
SG = R-3m

Lattice parameters (Å, degrees): 4.884 4.884 4.884 57.88 57.88 57.88
Sites, in units of the cell vectors:
Ta  0.122  0.122  0.122
Ta  0.878  0.878  0.878
Mn  0.000  0.500  0.500
Mn  0.500  0.000  0.500
Mn  0.500  0.500  0.000
Ni  0.500  0.500  0.500

Below is a relaxed structure of RbSi2BO6, with properties calculated at the PBE-GGA level.

Values from the calculation:
Formation energy (no corrections) = -2.52 eV/atom
SG = C2/c

Lattice parameters (Å, degrees): 7.099 7.099 5.499 105.41 105.41 97.39
Sites, in units of the cell vectors:
Rb  0.125  0.875  0.750
Rb  0.875  0.125  0.250
Si  0.204  0.377  0.899
Si  0.377  0.204  0.399
Si  0.623  0.796  0.601
Si  0.796  0.623  0.101
B  0.254  0.746  0.250
B  0.746  0.254  0.750
O  0.038  0.695  0.229
O  0.277  0.280  0.143
O  0.280  0.277  0.643
O  0.283  0.618  0.009
O  0.305  0.962  0.271
O  0.382  0.717  0.491
O  0.618  0.283  0.509
O  0.695  0.038  0.729
O  0.717  0.382  0.991
O  0.720  0.723  0.357
O  0.723  0.720  0.857
O  0.962  0.305  0.771

Below is a relaxed structure of NaGeBi, with properties calculated at the PBE-GGA level.

Values from the calculation:
Formation energy from the elements = -0.0703 eV per atom
SG = P1
ΔE to the lowest computed polymorph = 32.5 meV per atom

Lattice parameters (Å, degrees): 4.269 5.738 8.222 91.19 104.99 111.77
Sites, in units of the cell vectors:
Na  0.000  0.000  0.000
Na  0.190  0.764  0.616
Ge  0.330  0.573  0.084
Ge  0.634  0.930  0.339
Bi  0.338  0.295  0.380
Bi  0.639  0.422  0.853

Below is a relaxed structure of LiYRe2N6, with properties calculated at the PBE-GGA level.

Values from the calculation:
Formation energy (no corrections) = -0.41 eV/atom
SG = C2/c

Lattice parameters (Å, degrees): 7.395 7.395 6.171 106.48 106.48 85.45
Sites, in units of the cell vectors:
Li  0.237  0.763  0.750
Li  0.763  0.237  0.250
Y  0.098  0.902  0.250
Y  0.902  0.098  0.750
Re  0.211  0.385  0.286
Re  0.385  0.211  0.786
Re  0.615  0.789  0.214
Re  0.789  0.615  0.714
N  0.023  0.211  0.162
N  0.122  0.616  0.344
N  0.211  0.023  0.662
N  0.350  0.359  0.070
N  0.359  0.350  0.570
N  0.384  0.878  0.156
N  0.616  0.122  0.844
N  0.641  0.650  0.430
N  0.650  0.641  0.930
N  0.789  0.977  0.338
N  0.878  0.384  0.656
N  0.977  0.789  0.838

Below is a relaxed structure of LiSe2N2, with properties calculated at the PBE-GGA level.

Values from the calculation:
Formation energy (no corrections) = 1.70 eV/atom
SG = P4/mmm
ΔE to the lowest computed polymorph = 516.6 meV per atom

Lattice parameters (Å, degrees): 3.958 3.958 5.696 90.00 90.00 90.00
Sites, in units of the cell vectors:
Li  0.000  0.000  0.000
Se  0.000  0.000  0.500
Se  0.500  0.500  0.500
N  0.000  0.500  0.000
N  0.500  0.000  0.000

Below is a relaxed structure of Li2CaTm2Tl2, with properties calculated at the PBE-GGA level.

Values from the calculation:
Formation energy from the elements = -0.1673 eV per atom
SG = R-3m

Lattice parameters (Å, degrees): 9.446 9.446 9.446 29.94 29.94 29.94
Sites, in units of the cell vectors:
Li  0.100  0.100  0.100
Li  0.900  0.900  0.900
Ca  0.500  0.500  0.500
Tm  0.371  0.371  0.371
Tm  0.629  0.629  0.629
Tl  0.246  0.246  0.246
Tl  0.754  0.754  0.754

Below is a relaxed structure of Ce2Ni3P4Ir, with properties calculated at the PBE-GGA level.

Values from the calculation:
Formation energy from the elements = -0.9861 eV per atom
SG = P-4m2

Lattice parameters (Å, degrees): 4.086 4.086 9.161 90.00 90.00 90.00
Sites, in units of the cell vectors:
Ce  0.000  0.500  0.241
Ce  0.500  0.000  0.759
Ni  0.000  0.500  0.888
Ni  0.500  0.000  0.112
Ni  0.500  0.500  0.500
P  0.000  0.000  0.000
P  0.000  0.500  0.638
P  0.500  0.000  0.362
P  0.500  0.500  0.000
Ir  0.000  0.000  0.500

Below is a relaxed structure of YZrCu2, with properties calculated at the PBE-GGA level.

Values from the calculation:
Formation energy from the elements = 0.2954 eV per atom
SG = I-42d
ΔE to the lowest computed polymorph = 443.5 meV per atom

Lattice parameters (Å, degrees): 6.049 6.049 6.049 103.60 103.60 121.99
Sites, in units of the cell vectors:
Y  0.000  0.000  0.000
Y  0.750  0.250  0.500
Zr  0.250  0.750  0.500
Zr  0.500  0.500  0.000
Cu  0.144  0.625  0.019
Cu  0.375  0.394  0.519
Cu  0.606  0.125  0.981
Cu  0.875  0.856  0.481

Below is a relaxed structure of TiSbNF2, with properties calculated at the PBE-GGA level.

Values from the calculation:
Formation energy (no corrections) = -0.33 eV/atom
SG = P4/mmm
ΔE to the lowest computed polymorph = 938.2 meV per atom

Lattice parameters (Å, degrees): 4.355 4.355 4.430 90.00 90.00 90.00
Sites, in units of the cell vectors:
Ti  0.000  0.000  0.000
Sb  0.500  0.500  0.500
N  0.500  0.500  0.000
F  0.000  0.500  0.500
F  0.500  0.000  0.500

Below is a relaxed structure of Hf12SnPb3, with properties calculated at the PBE-GGA level.

Values from the calculation:
Formation energy from the elements = -0.0561 eV per atom
SG = Pmmm

Lattice parameters (Å, degrees): 5.622 5.622 11.257 90.00 90.00 90.00
Sites, in units of the cell vectors:
Hf  0.000  0.000  0.124
Hf  0.000  0.000  0.375
Hf  0.000  0.000  0.625
Hf  0.000  0.000  0.876
Hf  0.249  0.500  0.247
Hf  0.249  0.500  0.753
Hf  0.500  0.249  0.500
Hf  0.500  0.251  0.000
Hf  0.500  0.749  0.000
Hf  0.500  0.751  0.500
Hf  0.751  0.500  0.247
Hf  0.751  0.500  0.753
Sn  0.000  0.500  0.000
Pb  0.000  0.500  0.500
Pb  0.500  0.000  0.250
Pb  0.500  0.000  0.750

Below is a relaxed structure of KAg2BF6, with properties calculated at the PBE-GGA level.

Values from the calculation:
Formation energy (no corrections) = -2.14 eV/atom
SG = P1

Lattice parameters (Å, degrees): 4.838 5.506 6.667 103.02 108.84 90.32
Sites, in units of the cell vectors:
K  0.000  0.000  0.000
Ag  0.428  0.447  0.877
Ag  0.741  0.360  0.472
B  0.329  0.853  0.507
F  0.185  0.668  0.317
F  0.229  0.091  0.478
F  0.271  0.802  0.690
F  0.559  0.195  0.119
F  0.636  0.865  0.551
F  0.909  0.461  0.836

Below is a relaxed structure of TlGaAuF6, with properties calculated at the PBE-GGA level.

Values from the calculation:
Formation energy (no corrections) = -1.85 eV/atom
SG = P1

Lattice parameters (Å, degrees): 5.678 5.692 5.728 116.34 91.01 91.00
Sites, in units of the cell vectors:
Tl  0.000  0.000  0.000
Ga  0.499  0.669  0.330
Au  0.500  0.333  0.669
F  0.275  0.674  0.093
F  0.310  0.392  0.369
F  0.341  0.961  0.619
F  0.657  0.379  0.038
F  0.691  0.632  0.604
F  0.721  0.909  0.322

Below is a relaxed structure of Cd2InTe, with properties calculated at the PBE-GGA level.

Values from the calculation:
Formation energy (no corrections) = 0.03 eV/atom
SG = I4/mmm
ΔE to the lowest computed polymorph = 107.4 meV per atom

Lattice parameters (Å, degrees): 5.878 5.878 5.878 132.22 132.22 69.88
Sites, in units of the cell vectors:
Cd  0.250  0.750  0.500
Cd  0.750  0.250  0.500
In  0.000  0.000  0.000
Te  0.500  0.500  0.000

Below is a relaxed structure of NbGeTePO, with properties calculated at the PBE-GGA level.

Values from the calculation:
Formation energy (no corrections) = -0.59 eV/atom
SG = Pmm2
ΔE to the lowest computed polymorph = 119.5 meV per atom

Lattice parameters (Å, degrees): 2.985 3.305 10.214 90.00 90.00 90.00
Sites, in units of the cell vectors:
Nb  0.000  0.000  0.000
Ge  0.500  0.000  0.335
Te  0.500  0.500  0.614
P  0.500  0.500  0.879
O  0.500  0.000  0.146

Below is a relaxed structure of TbTlSe2O8, with properties calculated at the PBE-GGA level.

Values from the calculation:
Formation energy (no corrections) = -1.38 eV/atom
SG = C2/m

Lattice parameters (Å, degrees): 5.487 5.487 8.585 91.49 91.49 64.10
Sites, in units of the cell vectors:
Tb  0.000  0.000  0.000
Tl  0.000  0.000  0.500
Se  0.360  0.360  0.220
Se  0.640  0.640  0.780
O  0.230  0.697  0.191
O  0.231  0.231  0.079
O  0.300  0.300  0.397
O  0.303  0.770  0.809
O  0.697  0.230  0.191
O  0.700  0.700  0.603
O  0.769  0.769  0.921
O  0.770  0.303  0.809

Below is a relaxed structure of SbTe2Cl, with properties calculated at the PBE-GGA level.

Values from the calculation:
Formation energy (no corrections) = -0.11 eV/atom
SG = C2/m
ΔE to the lowest computed polymorph = 147.8 meV per atom

Lattice parameters (Å, degrees): 4.227 4.227 8.387 91.66 91.66 59.77
Sites, in units of the cell vectors:
Sb  0.000  0.000  0.000
Te  0.316  0.316  0.779
Te  0.684  0.684  0.221
Cl  0.500  0.500  0.500

Below is a relaxed structure of Er2PtS, with properties calculated at the PBE-GGA level.

Values from the calculation:
Formation energy (no corrections) = -1.48 eV/atom
SG = R3m
ΔE to the lowest computed polymorph = 138.4 meV per atom

Lattice parameters (Å, degrees): 7.357 7.357 7.357 30.78 30.78 30.78
Sites, in units of the cell vectors:
Er  0.000  0.000  0.000
Er  0.178  0.178  0.178
Pt  0.589  0.589  0.589
S  0.757  0.757  0.757

Below is a relaxed structure of Ba3BeOs, with properties calculated at the PBE-GGA level.

Values from the calculation:
Formation energy from the elements = 0.8162 eV per atom
SG = Pm-3m
ΔE to the lowest computed polymorph = 0.0 meV per atom

Lattice parameters (Å, degrees): 5.939 5.939 5.939 90.00 90.00 90.00
Sites, in units of the cell vectors:
Ba  0.000  0.000  0.500
Ba  0.000  0.500  0.000
Ba  0.500  0.000  0.000
Be  0.500  0.500  0.500
Os  0.000  0.000  0.000

Below is a relaxed structure of TbHo4Ga15, with properties calculated at the PBE-GGA level.

Values from the calculation:
Formation energy from the elements = -0.5346 eV per atom
SG = P4/mmm

Lattice parameters (Å, degrees): 4.273 4.273 21.270 90.00 90.00 90.00
Sites, in units of the cell vectors:
Tb  0.000  0.000  0.000
Ho  0.000  0.000  0.201
Ho  0.000  0.000  0.400
Ho  0.000  0.000  0.600
Ho  0.000  0.000  0.799
Ga  0.000  0.500  0.101
Ga  0.000  0.500  0.300
Ga  0.000  0.500  0.500
Ga  0.000  0.500  0.700
Ga  0.000  0.500  0.899
Ga  0.500  0.000  0.101
Ga  0.500  0.000  0.300
Ga  0.500  0.000  0.500
Ga  0.500  0.000  0.700
Ga  0.500  0.000  0.899
Ga  0.500  0.500  0.000
Ga  0.500  0.500  0.200
Ga  0.500  0.500  0.400
Ga  0.500  0.500  0.600
Ga  0.500  0.500  0.800

Below is a relaxed structure of AcBi2Te, with properties calculated at the PBE-GGA level.

Values from the calculation:
Formation energy (no corrections) = -0.77 eV/atom
SG = P2_1/m
ΔE to the lowest computed polymorph = 0.0 meV per atom

Lattice parameters (Å, degrees): 4.515 4.587 14.146 90.00 99.22 90.00
Sites, in units of the cell vectors:
Ac  0.173  0.250  0.346
Ac  0.827  0.750  0.654
Bi  0.049  0.750  0.099
Bi  0.425  0.750  0.848
Bi  0.575  0.250  0.152
Bi  0.951  0.250  0.901
Te  0.297  0.250  0.593
Te  0.703  0.750  0.407

Below is a relaxed structure of CuTePd3, with properties calculated at the PBE-GGA level.

Values from the calculation:
Formation energy (no corrections) = -0.19 eV/atom
SG = P2_1/m
ΔE to the lowest computed polymorph = 0.0 meV per atom

Lattice parameters (Å, degrees): 5.134 4.501 7.472 90.00 109.56 90.00
Sites, in units of the cell vectors:
Cu  0.035  0.250  0.403
Cu  0.965  0.750  0.597
Te  0.404  0.250  0.201
Te  0.596  0.750  0.799
Pd  0.164  0.750  0.990
Pd  0.251  0.250  0.776
Pd  0.329  0.750  0.413
Pd  0.671  0.250  0.587
Pd  0.749  0.750  0.224
Pd  0.836  0.250  0.010

Below is a relaxed structure of GdHfCd2, with properties calculated at the PBE-GGA level.

Values from the calculation:
Formation energy from the elements = -0.1029 eV per atom
SG = P4/mmm
ΔE to the lowest computed polymorph = 0.0 meV per atom

Lattice parameters (Å, degrees): 3.286 3.286 8.718 90.00 90.00 90.00
Sites, in units of the cell vectors:
Gd  0.000  0.000  0.000
Hf  0.000  0.000  0.500
Cd  0.500  0.500  0.268
Cd  0.500  0.500  0.732